Density functional theory data (PBE-GGA) for a relaxed DyEr6Tm crystal.

The space group is P-1 (No. 2) and the conventional cell measures 6.0557, 6.0615 and 7.0029 Å, with angles of 73.23, 89.99 and 80.32 degrees. The inequivalent atoms are Dy at (0.0000, 0.0000, 0.0000), Er at (0.2498, 0.4997, 0.3753), Er at (0.2503, 0.5002, 0.8748), Er at (0.5001, 0.9996, 0.2503) and Tm at (0.0000, 0.0000, 0.5000).

The density of states at the Fermi level is 11.08 states/eV per cell. The value obtained for the electronic total energy is -4.53 eV per atom. The value obtained for the volume is 30.29 A^3/atom.

***

Density functional theory data (PBE-GGA) for a relaxed BNCl3 crystal.

The space group is Pm-3m (No. 221) and the conventional cell measures 4.3967, 4.3967 and 4.3967 Å, with angles of 90.00, 90.00 and 90.00 degrees. The inequivalent atoms are B at (0.0000, 0.0000, 0.0000), N at (0.5000, 0.5000, 0.5000) and Cl at (0.0000, 0.0000, 0.5000).

The density of states at the Fermi level is 3.66 states/eV per cell. Its formation energy from raw total energies is 1.31 eV per atom. The value obtained for the electronic total energy is -2.80 eV per atom. The value obtained for the volume is 17.00 A^3/atom.

***

Density functional theory data (PBE-GGA) for a relaxed ZrCdTc2 crystal.

The space group is F-43m (No. 216) and the conventional cell measures 6.5503, 6.5503 and 6.5503 Å, with angles of 90.00, 90.00 and 90.00 degrees. The inequivalent atoms are Zr at (0.0000, 0.0000, 0.0000), Cd at (0.2500, 0.2500, 0.7500), Tc at (0.0000, 0.0000, 0.5000) and Tc at (0.2500, 0.2500, 0.2500).

The density of states at the Fermi level is 15.18 states/eV per cell. The value obtained for the electronic total energy is -7.31 eV per atom. The value obtained for the volume is 17.57 A^3/atom.

***

Density functional theory data (PBE-GGA) for a relaxed La3PdPb crystal.

The space group is C2/c (No. 15) and the conventional cell measures 13.4729, 11.6873 and 8.3232 Å, with angles of 90.00, 90.00 and 90.00 degrees. The inequivalent atoms are La at (0.1054, 0.0872, 0.0933), La at (0.1052, 0.4128, 0.9067), La at (0.2500, 0.1763, 0.6927), Pd at (0.2502, 0.0577, 0.3764), Pb at (0.0000, 0.1665, 0.7500) and Pb at (0.0000, 0.3333, 0.2500).

The density of states at the Fermi level is 44.36 states/eV per cell. The value obtained for the electronic total energy is -5.23 eV per atom. The value obtained for the volume is 32.76 A^3/atom.

***

Density functional theory data (PBE-GGA) for a relaxed Y2Al3CdPt4 crystal.

The space group is P-4m2 (No. 115) and the conventional cell measures 4.0865, 4.0865 and 11.4805 Å, with angles of 90.00, 90.00 and 90.00 degrees. The inequivalent atoms are Y at (0.0000, 0.5000, 0.2491), Al at (0.0000, 0.5000, 0.8740), Al at (0.5000, 0.5000, 0.5000), Cd at (0.0000, 0.0000, 0.5000), Pt at (0.0000, 0.0000, 0.0000), Pt at (0.0000, 0.5000, 0.6609) and Pt at (0.5000, 0.5000, 0.0000).

The density of states at the Fermi level is 5.65 states/eV per cell. The value obtained for the electronic total energy is -5.90 eV per atom. The value obtained for the volume is 19.17 A^3/atom.

***

Density functional theory data (PBE-GGA) for a relaxed CeU2PaP4 crystal.

The space group is P2/m (No. 10) and the conventional cell measures 6.8487, 3.9506 and 6.9588 Å, with angles of 90.00, 109.13 and 90.00 degrees. The inequivalent atoms are Ce at (0.0000, 0.0000, 0.0000), U at (0.0000, 0.5000, 0.5000), U at (0.5000, 0.0000, 0.5000), Pa at (0.5000, 0.5000, 0.0000), P at (0.2521, 0.0000, 0.7454) and P at (0.2567, 0.5000, 0.2577).

The density of states at the Fermi level is 16.55 states/eV per cell. The value obtained for the electronic total energy is -8.64 eV per atom. The value obtained for the volume is 22.24 A^3/atom.

***

Density functional theory data (PBE-GGA) for a relaxed NbTcMo crystal.

The space group is I4mm (No. 107) and the conventional cell measures 3.1883, 3.1883 and 9.5650 Å, with angles of 90.00, 90.00 and 90.00 degrees. The inequivalent atoms are Nb at (0.0000, 0.0000, 0.0000), Tc at (0.0000, 0.0000, 0.3324) and Mo at (0.0000, 0.0000, 0.6706).

The density of states at the Fermi level is 5.30 states/eV per cell. The value obtained for the electronic total energy is -10.54 eV per atom. The value obtained for the volume is 16.20 A^3/atom.

***

Density functional theory data (PBE-GGA) for a relaxed TlTc2Au crystal.

The space group is I-4m2 (No. 119) and the conventional cell measures 4.1292, 4.1292 and 8.0182 Å, with angles of 90.00, 90.00 and 90.00 degrees. The inequivalent atoms are Tl at (0.0000, 0.0000, 0.0000), Tc at (0.0000, 0.0000, 0.5000), Tc at (0.0000, 0.5000, 0.2500) and Au at (0.0000, 0.5000, 0.7500).

The density of states at the Fermi level is 8.42 states/eV per cell. The value obtained for the electronic total energy is -6.00 eV per atom. The value obtained for the volume is 17.09 A^3/atom.

***

Density functional theory data (PBE-GGA) for a relaxed LiNi3H crystal.

The space group is Pm-3m (No. 221) and the conventional cell measures 3.9229, 3.9229 and 3.9229 Å, with angles of 90.00, 90.00 and 90.00 degrees. The inequivalent atoms are Li at (0.0000, 0.0000, 0.0000), Ni at (0.0000, 0.0000, 0.5000) and H at (0.5000, 0.5000, 0.5000).

The density of states at the Fermi level is 5.84 states/eV per cell. The value obtained for the electronic total energy is -3.11 eV per atom. The value obtained for the volume is 12.07 A^3/atom.

***

Density functional theory data (PBE-GGA) for a relaxed BaAl6Ni crystal.

The space group is P4/mmm (No. 123) and the conventional cell measures 4.3511, 4.3511 and 8.4795 Å, with angles of 90.00, 90.00 and 90.00 degrees. The inequivalent atoms are Ba at (0.0000, 0.0000, 0.0000), Al at (0.0000, 0.5000, 0.3447), Al at (0.5000, 0.5000, 0.1566) and Ni at (0.0000, 0.0000, 0.5000).

The density of states at the Fermi level is 4.17 states/eV per cell. The value obtained for the electronic total energy is -4.05 eV per atom. The value obtained for the volume is 20.07 A^3/atom.

***

Density functional theory data (PBE-GGA) for a relaxed NdS4Br crystal.

The space group is P-1 (No. 2) and the conventional cell measures 5.5227, 8.2875 and 11.3656 Å, with angles of 69.48, 82.82 and 87.44 degrees. The inequivalent atoms are Nd at (0.0343, 0.3374, 0.3343), S at (0.0383, 0.9535, 0.4292), S at (0.0550, 0.6638, 0.1453), S at (0.1513, 0.4985, 0.0542), S at (0.1823, 0.4799, 0.5101) and Br at (0.4462, 0.7393, 0.7179).

The density of states at the Fermi level is 5.86 states/eV per cell. Its formation energy from raw total energies is -0.81 eV per atom. The value obtained for the electronic total energy is -4.64 eV per atom. The value obtained for the volume is 40.28 A^3/atom.

***

Density functional theory data (PBE-GGA) for a relaxed La6Bi3Te2Pb crystal.

The space group is C2/m (No. 12) and the conventional cell measures 20.3222, 4.6728 and 9.3325 Å, with angles of 90.00, 103.21 and 90.00 degrees. The inequivalent atoms are La at (0.9996, 0.0000, 0.2466), La at (0.1649, 0.5000, 0.0804), La at (0.1657, 0.5000, 0.5846), Bi at (0.0000, 0.5000, 0.5000), Bi at (0.1683, 0.0000, 0.8322), Te at (0.1674, 0.0000, 0.3349) and Pb at (0.0000, 0.5000, 0.0000).

The density of states at the Fermi level is 6.36 states/eV per cell. Its formation energy from raw total energies is -1.18 eV per atom. The value obtained for the electronic total energy is -5.45 eV per atom. The value obtained for the volume is 35.95 A^3/atom.